(1)
A plane-wave DFT calculation with PBE was carried out for a relaxed structure of ScNbRhO6.

Values from the calculation:
Raw formation energy = -2.15 eV/atom

```
data_ScNbRhO6
_cell_length_a 4.776
_cell_length_b 4.776
_cell_length_c 9.397
_cell_angle_alpha 90.00
_cell_angle_beta 90.00
_cell_angle_gamma 90.00
_symmetry_space_group_name_H-M 'P 42 n m'
_symmetry_Int_Tables_number 102
_symmetry_space_group_name_Hall 'P 4n -2n'
loop_
_atom_site_label
_atom_site_type_symbol
_atom_site_fract_x
_atom_site_fract_y
_atom_site_fract_z
Sc1 Sc 0.000 0.000 0.000
Nb1 Nb 0.000 0.000 0.665
Rh1 Rh 0.000 0.000 0.328
O1 O 0.188 0.188 0.495
O2 O 0.200 0.200 0.168
O3 O 0.203 0.203 0.819
```

***

(2)
A plane-wave DFT calculation with PBE was carried out for a relaxed structure of DyPbF.

Values from the calculation:
Raw formation energy = -1.84 eV/atom
Distance to the lowest polymorph of the same formula = 0.025 eV per atom

```
data_DyPbF
_cell_length_a 6.206
_cell_length_b 7.634
_cell_length_c 6.666
_cell_angle_alpha 90.00
_cell_angle_beta 107.50
_cell_angle_gamma 90.00
_symmetry_space_group_name_H-M 'P 1 21/c 1'
_symmetry_Int_Tables_number 14
_symmetry_space_group_name_Hall '-P 2ybc'
loop_
_atom_site_label
_atom_site_type_symbol
_atom_site_fract_x
_atom_site_fract_y
_atom_site_fract_z
Dy1 Dy 0.063 0.129 0.257
Pb1 Pb 0.394 0.671 0.075
F1 F 0.110 0.115 0.931
```

***

(3)
A plane-wave DFT calculation with PBE was carried out for a relaxed structure of YTlTc2P.

Values from the calculation:
Energy of formation = 2.094 eV per atom

```
data_YTlTc2P
_cell_length_a 5.021
_cell_length_b 5.021
_cell_length_c 5.672
_cell_angle_alpha 90.00
_cell_angle_beta 90.00
_cell_angle_gamma 90.00
_symmetry_space_group_name_H-M 'P 4/m m m'
_symmetry_Int_Tables_number 123
_symmetry_space_group_name_Hall '-P 4 2'
loop_
_atom_site_label
_atom_site_type_symbol
_atom_site_fract_x
_atom_site_fract_y
_atom_site_fract_z
Y1 Y 0.000 0.000 0.000
Tl1 Tl 0.000 0.000 0.500
Tc1 Tc 0.000 0.500 0.000
P1 P 0.500 0.500 0.500
```

***

(4)
A plane-wave DFT calculation with PBE was carried out for a relaxed structure of AlNiRh2.

Values from the calculation:
Energy of formation = -0.428 eV per atom

```
data_AlNiRh2
_cell_length_a 3.743
_cell_length_b 3.743
_cell_length_c 7.619
_cell_angle_alpha 90.00
_cell_angle_beta 90.00
_cell_angle_gamma 90.00
_symmetry_space_group_name_H-M 'I -4 m 2'
_symmetry_Int_Tables_number 119
_symmetry_space_group_name_Hall 'I -4 -2'
loop_
_atom_site_label
_atom_site_type_symbol
_atom_site_fract_x
_atom_site_fract_y
_atom_site_fract_z
Al1 Al 0.000 0.000 0.000
Ni1 Ni 0.000 0.500 0.750
Rh1 Rh 0.000 0.000 0.500
Rh2 Rh 0.000 0.500 0.250
```

***

(5)
A plane-wave DFT calculation with PBE was carried out for a relaxed structure of LaMn2Os2.

Values from the calculation:
Energy of formation = 0.082 eV per atom
Distance to the lowest polymorph of the same formula = 0.000 eV per atom

```
data_LaMn2Os2
_cell_length_a 4.176
_cell_length_b 4.176
_cell_length_c 10.585
_cell_angle_alpha 90.00
_cell_angle_beta 90.00
_cell_angle_gamma 90.00
_symmetry_space_group_name_H-M 'I 4/m m m'
_symmetry_Int_Tables_number 139
_symmetry_space_group_name_Hall '-I 4 2'
loop_
_atom_site_label
_atom_site_type_symbol
_atom_site_fract_x
_atom_site_fract_y
_atom_site_fract_z
La1 La 0.000 0.000 0.000
Mn1 Mn 0.000 0.500 0.250
Os1 Os 0.000 0.000 0.384
```